Entry 1:
Sc2Rh after structural relaxation. Source: the Alexandria database, functional GGA-PBE.

```
Sc2Rh
1.0
-4.068 -7.149 -2.860
-1.994 -6.395 5.564
-8.308 -1.447 2.174
Sc Rh
16 8
Cartesian
-13.242 -13.259 3.865 Sc
-9.944 -6.390 3.599 Sc
-8.018 -12.349 2.498 Sc
-6.188 -4.298 -0.343 Sc
-7.185 -7.496 2.439 Sc
-4.426 -8.602 1.279 Sc
-7.092 -5.016 4.444 Sc
-3.685 -6.228 -0.786 Sc
-9.650 -9.511 2.646 Sc
-10.684 -8.764 5.664 Sc
-2.034 -3.575 -1.430 Sc
-1.127 -1.732 1.012 Sc
-7.278 -9.976 0.433 Sc
-4.154 -0.723 1.087 Sc
-4.720 -5.480 2.232 Sc
-6.352 -2.642 2.379 Sc
-7.811 -4.935 1.750 Rh
-9.290 -7.535 0.710 Rh
-6.559 -10.056 3.128 Rh
-3.810 -3.387 0.627 Rh
-10.559 -11.605 4.251 Rh
-8.100 -7.983 4.958 Rh
-5.080 -7.457 4.168 Rh
-6.269 -7.009 -0.081 Rh
```

- E_form (eV per formula unit) = -2.10
- space-group type = Fd-3m


Entry 2:
BePtW after structural relaxation. Source: the Alexandria database, functional GGA-PBE.

```
BePtW
1.0
-3.556 1.279 -0.531
-0.067 -1.221 -2.492
-2.825 -6.431 3.426
Be Pt W
2 2 2
Cartesian
-3.194 -2.442 1.120 Be
-4.059 -4.956 0.857 Be
-0.855 -1.758 0.818 Pt
-1.790 -4.470 0.548 Pt
-2.153 -0.522 -1.224 W
-2.629 -5.868 2.792 W
```

- E_form (eV per formula unit) = -0.63
- ΔE to the lowest computed polymorph (meV per atom) = 131.1
- space-group type = Pm


Entry 3:
ScIn6 after structural relaxation. Source: the Alexandria database, functional GGA-PBE.

```
ScIn6
1.0
6.927 0.000 0.000
-2.309 6.531 0.000
-2.309 -3.265 5.656
In Sc
6 1
Cartesian
1.154 -0.816 4.242 In
3.463 0.000 2.828 In
3.463 2.449 1.414 In
-1.154 3.265 2.828 In
1.154 4.082 1.414 In
-1.154 0.816 4.242 In
0.000 0.000 0.000 Sc
```

- E_form (eV per formula unit) = 4.18
- space-group type = Im-3m


Entry 4:
LiPuCu2S4 after structural relaxation. Source: the Alexandria database, functional GGA-PBE.

```
LiPuCu2S4
1.0
-4.604 -1.179 3.168
4.245 0.287 3.811
-0.587 4.846 -2.966
S Cu Pu Li
4 2 1 1
Cartesian
-0.510 2.338 1.686 S
-2.003 -0.583 1.965 S
1.787 0.045 2.240 S
-0.579 1.261 5.101 S
1.739 2.343 2.167 Cu
-2.686 1.610 1.846 Cu
0.000 0.000 0.000 Pu
-0.180 -0.446 3.490 Li
```

- formation energy without anion corrections (eV/f.u.) = -6.23
- space-group type = I-42m


Entry 5:
LiLa3Te2Cl6 after structural relaxation. Source: the Alexandria database, functional GGA-PBE.

```
LiLa3Te2Cl6
1.0
-6.191 2.293 -0.782
0.848 -0.687 -8.731
-3.569 -6.107 4.567
Cl Te La Li
6 2 3 1
Cartesian
-4.750 0.563 -2.854 Cl
-4.162 -5.063 -2.091 Cl
-5.913 -3.236 -4.753 Cl
-4.561 -4.741 2.015 Cl
-4.351 0.240 -6.960 Cl
-2.999 -1.264 -0.192 Cl
-6.901 -2.163 -0.500 Te
-2.011 -2.337 -4.445 Te
-4.880 -1.907 1.893 La
0.424 -0.343 -4.365 La
-4.456 -2.250 -2.473 La
-3.095 1.147 -0.391 Li
```

- formation energy without anion corrections (eV/f.u.) = -23.62
- space-group type = C2/m


Entry 6:
MgBeN2F after structural relaxation. Source: the Alexandria database, functional GGA-PBE.

```
MgBeN2F
1.0
3.271 0.000 0.000
0.000 3.271 0.000
0.000 0.000 4.324
F N Be Mg
1 2 1 1
Cartesian
0.000 0.000 2.162 F
1.636 0.000 0.000 N
0.000 1.636 0.000 N
0.000 0.000 0.000 Be
1.636 1.636 2.162 Mg
```

- formation energy without anion corrections (eV/f.u.) = -1.73
- ΔE to the lowest computed polymorph (meV per atom) = 0.0
- space-group type = P4/mmm


Entry 7:
ErSc2Te4 after structural relaxation. Source: the Alexandria database, functional GGA-PBE.

```
ErSc2Te4
1.0
-2.024 1.732 -3.149
-1.488 -6.995 -0.190
-11.437 2.201 8.564
Er Sc Te
2 4 8
Cartesian
-10.225 0.961 4.401 Er
-4.725 -4.022 0.825 Er
-5.601 -0.623 3.259 Sc
-13.546 -1.631 5.110 Sc
-9.348 -2.439 1.967 Sc
-1.404 -1.431 0.116 Sc
-6.731 1.967 2.708 Te
-3.051 0.080 2.006 Te
-8.196 -1.394 4.502 Te
-3.742 -2.248 -1.532 Te
-1.012 0.866 -1.574 Te
-6.754 -1.668 0.723 Te
-11.208 -0.814 6.758 Te
-11.899 -3.141 3.220 Te
```

- formation energy without anion corrections (eV/f.u.) = -8.57
- ΔE to the lowest computed polymorph (meV per atom) = 48.7
- space-group type = Cmcm


Entry 8:
NdMg2Pt9 after structural relaxation. Source: the Alexandria database, functional GGA-PBE.

```
NdMg2Pt9
1.0
5.371 0.000 0.000
2.686 4.652 0.000
2.686 1.551 8.727
Pt Nd Mg
9 1 2
Cartesian
5.371 3.101 0.004 Pt
5.371 3.101 8.723 Pt
5.371 3.101 4.364 Pt
4.008 3.888 6.466 Pt
5.371 4.675 2.261 Pt
5.371 1.527 6.466 Pt
4.008 2.314 2.261 Pt
6.734 2.314 2.261 Pt
6.734 3.888 6.466 Pt
0.000 0.000 0.000 Nd
2.686 1.551 4.931 Mg
8.057 4.652 3.796 Mg
```

- E_form (eV per formula unit) = -7.65
- space-group type = R-3m


Quick rundown of uncorrected energy, same order as above: -7.371 -7.782 -2.654 -5.897 -4.807 -5.114 -5.481 -5.831 eV per atom
Quick rundown of V, same order as above: 19.5 13.8 36.5 17.8 34.8 9.3 29.2 18.2 Å³/atom
Quick rundown of M_tot, same order as above: 0.0 0.0 0.9 4.4 0.0 0.0 0.0 0.0 μB per formula unit